Below is a relaxed HgPdI2N crystal, with properties calculated at the PBE level.

abc: 6.0482 6.0482 4.1234
angles: 90.00 90.00 90.00
Closest atoms and distances in Å follow each position.
Atoms (fractional coordinates):
1 Hg 0.0000 0.0000 0.0000  2 N 2.06
2 Pd 0.5000 0.5000 0.5000  8 I 3.66
3 I 0.0000 0.5000 0.0000  2 Hg 3.02
4 I 0.5000 0.0000 0.0000  2 Hg 3.02
5 N 0.0000 0.0000 0.5000  2 Hg 2.06

Summary:
Total moment in μB/f.u.: 2.86
ΔE_f (raw) in meV/atom: 1194
D(E_F) in states/eV/atom: 1.06
Excess energy over the best structure of this formula in the dataset in meV per atom: 614

Below is a relaxed HgPdI2N crystal, with properties calculated at the PBE level.

abc: 5.8293 5.8293 3.7916
angles: 90.00 90.00 90.00
Closest atoms and distances in Å follow each position.
Atoms (fractional coordinates):
1 Hg 0.0000 0.0000 0.0000  8 I 3.48, 2 Hg 3.79
2 Pd 0.5000 0.5000 0.5000  2 N 1.90
3 I 0.0000 0.5000 0.5000  2 Pd 2.91
4 I 0.5000 0.0000 0.5000  2 Pd 2.91
5 N 0.5000 0.5000 0.0000  2 Pd 1.90

Summary:
Total moment in μB/f.u.: 0.00
ΔE_f (raw) in meV/atom: 580
D(E_F) in states/eV/atom: 0.74
Excess energy over the best structure of this formula in the dataset in meV per atom: 0

Below is a relaxed HgPdIN2 crystal, with properties calculated at the PBE level.

abc: 4.0937 4.0937 7.4274
angles: 90.00 90.00 90.00
Closest atoms and distances in Å follow each position.
Atoms (fractional coordinates):
1 Hg 0.0000 0.0000 0.0000  4 I 2.89
2 Pd 0.5000 0.5000 0.5000  4 N 2.05
3 I 0.5000 0.5000 0.0000  4 Hg 2.89
4 N 0.0000 0.5000 0.5000  2 Pd 2.05
5 N 0.5000 0.0000 0.5000  2 Pd 2.05

Summary:
Total moment in μB/f.u.: 3.75
ΔE_f (raw) in meV/atom: 1358
D(E_F) in states/eV/atom: 0.56
Excess energy over the best structure of this formula in the dataset in meV per atom: 0

Below is a relaxed HgPtIN2 crystal, with properties calculated at the PBE level.

abc: 4.1214 4.1214 7.6180
angles: 90.00 90.00 90.00
Closest atoms and distances in Å follow each position.
Atoms (fractional coordinates):
1 Hg 0.0000 0.0000 0.0000  4 N 2.06
2 Pt 0.5000 0.5000 0.5000  4 I 2.91
3 I 0.0000 0.0000 0.5000  4 Pt 2.91
4 N 0.0000 0.5000 0.0000  2 Hg 2.06
5 N 0.5000 0.0000 0.0000  2 Hg 2.06

Summary:
Total moment in μB/f.u.: 3.64
ΔE_f (raw) in meV/atom: 2022
D(E_F) in states/eV/atom: 0.89
Excess energy over the best structure of this formula in the dataset in meV per atom: 850

Below is a relaxed HgPtI2N crystal, with properties calculated at the PBE level.

abc: 5.8560 5.8560 3.7530
angles: 90.00 90.00 90.00
Closest atoms and distances in Å follow each position.
Atoms (fractional coordinates):
1 Hg 0.0000 0.0000 0.0000  8 I 3.48, 2 Hg 3.75
2 Pt 0.5000 0.5000 0.5000  2 N 1.88
3 I 0.0000 0.5000 0.5000  2 Pt 2.93
4 I 0.5000 0.0000 0.5000  2 Pt 2.93
5 N 0.5000 0.5000 0.0000  2 Pt 1.88

Summary:
Total moment in μB/f.u.: 0.00
ΔE_f (raw) in meV/atom: 436
D(E_F) in states/eV/atom: 0.81
Excess energy over the best structure of this formula in the dataset in meV per atom: 0

Below is a relaxed HgPtIN2 crystal, with properties calculated at the PBE level.

abc: 3.9439 3.9439 8.0560
angles: 90.00 90.00 90.00
Closest atoms and distances in Å follow each position.
Atoms (fractional coordinates):
1 Hg 0.0000 0.0000 0.0000  4 I 2.79
2 Pt 0.5000 0.5000 0.5000  4 N 1.97
3 I 0.5000 0.5000 0.0000  4 Hg 2.79
4 N 0.0000 0.5000 0.5000  2 Pt 1.97
5 N 0.5000 0.0000 0.5000  2 Pt 1.97

Summary:
Total moment in μB/f.u.: 0.98
ΔE_f (raw) in meV/atom: 1172
D(E_F) in states/eV/atom: 0.65
Excess energy over the best structure of this formula in the dataset in meV per atom: 0